# 1
{
  "formula": "LiCrW",
  "functional": "PBE",
  "state": "relaxed",
  "e_form_mev_per_atom": 462,
  "e_tot_ev_per_cell": -23.1,
  "lattice": [[-1.0580, -1.8115, 3.7480], [2.3442, -2.1886, -2.8572], [2.1207, 0.9136, 1.0402]],
  "species": ["W", "Li", "Cr"],
  "frac_coords": [[0.3333, 0.6667, 0.6775], [0.6667, 0.3333, 0.2980], [0.0000, 0.0000, 0.0245]]
}

=====

# 2
{
  "formula": "Li2CrW2",
  "functional": "PBE",
  "state": "relaxed",
  "e_form_mev_per_atom": 1050,
  "e_tot_ev_per_cell": -34.1,
  "lattice": [[3.6785, 0.0000, 0.0000], [0.0000, 3.6785, 0.0000], [1.8393, 1.8393, 5.1175]],
  "species": ["Li", "Li", "Cr", "W", "W"],
  "frac_coords": [[0.5817, 0.5817, 0.8366], [0.4183, 0.4183, 0.1634], [0.0000, 0.0000, 0.0000], [0.7500, 0.2500, 0.5000], [0.2500, 0.7500, 0.5000]]
}

=====

# 3
{
  "formula": "LiCr2W",
  "functional": "PBE",
  "state": "relaxed",
  "e_form_mev_per_atom": 493,
  "e_tot_ev_per_cell": -32.1,
  "lattice": [[-1.9882, -3.3505, -1.5074], [2.8413, -2.4888, 1.7842], [-1.7051, -0.1289, 2.5355]],
  "species": ["Cr", "Cr", "Li", "W"],
  "frac_coords": [[0.0000, 0.0000, 0.0000], [0.5000, 0.5000, 0.0000], [0.5000, 0.0000, 0.5000], [0.0000, 0.5000, 0.5000]]
}

=====

| no. | volume (Å³ per cell) |
| --- | --- |
| 1 | 40 |
| 2 | 69 |
| 3 | 53 |